Density functional theory data (PBE) for an optimized crystal structure of PmY2InN.

Computed properties:
M_tot: 0.000 μB per atom
ΔE_f (raw): -0.971 eV/atom
E: -6.719 eV/atom
Density: 6.421 g/cm³

CIF file:
```
data_PmY2InN
_cell_length_a 4.8412
_cell_length_b 4.8412
_cell_length_c 4.9836
_cell_angle_alpha 90.00
_cell_angle_beta 90.00
_cell_angle_gamma 90.00
_space_group_name_H-M_alt 'P 4/m m m'
_space_group_IT_number 123
_space_group_name_Hall '-P 4 2'
loop_
_atom_site_label
_atom_site_type_symbol
_atom_site_fract_x
_atom_site_fract_y
_atom_site_fract_z
Pm1 Pm 0.0000 0.0000 0.0000
Y1 Y 0.0000 0.5000 0.5000
In1 In 0.5000 0.5000 0.0000
N1 N 0.0000 0.0000 0.5000
```

=====

Density functional theory data (PBE) for an optimized crystal structure of Li2CdSi.

Computed properties:
M_tot: 0.000 μB per atom
ΔE_f (raw): -0.126 eV/atom
E: -2.668 eV/atom
Density: 3.900 g/cm³

CIF file:
```
data_Li2CdSi
_cell_length_a 2.8023
_cell_length_b 4.0110
_cell_length_c 5.8482
_cell_angle_alpha 90.00
_cell_angle_beta 90.41
_cell_angle_gamma 90.00
_space_group_name_H-M_alt 'P 1 2/m 1'
_space_group_IT_number 10
_space_group_name_Hall '-P 2y'
loop_
_atom_site_label
_atom_site_type_symbol
_atom_site_fract_x
_atom_site_fract_y
_atom_site_fract_z
Li1 Li 0.0023 0.0000 0.2189
Cd1 Cd 0.5000 0.5000 0.5000
Si1 Si 0.5000 0.5000 0.0000
```

=====

Density functional theory data (PBE) for an optimized crystal structure of FeSbTe.

Computed properties:
M_tot: 0.060 μB per atom
ΔE_f (raw): -0.088 eV/atom
E: -5.330 eV/atom
Density: 8.024 g/cm³

CIF file:
```
data_FeSbTe
_cell_length_a 5.5194
_cell_length_b 3.5818
_cell_length_c 6.3928
_cell_angle_alpha 90.00
_cell_angle_beta 91.61
_cell_angle_gamma 90.00
_space_group_name_H-M_alt 'P 1 2/m 1'
_space_group_IT_number 10
_space_group_name_Hall '-P 2y'
loop_
_atom_site_label
_atom_site_type_symbol
_atom_site_fract_x
_atom_site_fract_y
_atom_site_fract_z
Fe1 Fe 0.0000 0.0000 0.0000
Fe2 Fe 0.5000 0.5000 0.5000
Sb1 Sb 0.2027 0.0000 0.6443
Te1 Te 0.2858 0.5000 0.1452
```

=====

Among the records above, which one has the lowest E?
PmY2InN

=====

Copy entry 2 word for word.
Density functional theory data (PBE) for an optimized crystal structure of Li2CdSi.

Computed properties:
M_tot: 0.000 μB per atom
ΔE_f (raw): -0.126 eV/atom
E: -2.668 eV/atom
Density: 3.900 g/cm³

CIF file:
```
data_Li2CdSi
_cell_length_a 2.8023
_cell_length_b 4.0110
_cell_length_c 5.8482
_cell_angle_alpha 90.00
_cell_angle_beta 90.41
_cell_angle_gamma 90.00
_space_group_name_H-M_alt 'P 1 2/m 1'
_space_group_IT_number 10
_space_group_name_Hall '-P 2y'
loop_
_atom_site_label
_atom_site_type_symbol
_atom_site_fract_x
_atom_site_fract_y
_atom_site_fract_z
Li1 Li 0.0023 0.0000 0.2189
Cd1 Cd 0.5000 0.5000 0.5000
Si1 Si 0.5000 0.5000 0.0000
```